The following is a DFT calculation (GGA-PBE) of an optimized crystal structure of ZnPd10.

Calculated values
As for the space-group type: C2/m, No. 12. Its distance to the lowest polymorph of the same formula is 27.2 meV per atom. Its calculated total energy is -105.83 eV/cell. The calculation puts the density at 7.0 g/cm3. The value obtained for the calculated formation energy is 9 meV per atom.

Unit cell a=4.8013 b=4.8013 c=31.4028 alpha=90.10 beta=90.10 gamma=47.67
Sites, in units of the cell vectors:
Zn 0.1527 0.1527 0.2084
Zn 0.8473 0.8473 0.7916
Pd 0.0462 0.0462 0.6866
Pd 0.0520 0.0520 0.3998
Pd 0.1493 0.1493 0.7745
Pd 0.1502 0.1502 0.4857
Pd 0.2483 0.2483 0.5715
Pd 0.2561 0.2561 0.2856
Pd 0.3483 0.3483 0.6577
Pd 0.3518 0.3518 0.3713
Pd 0.4489 0.4489 0.7457
Pd 0.4512 0.4512 0.4570
Pd 0.5488 0.5488 0.5430
Pd 0.5511 0.5511 0.2543
Pd 0.6482 0.6482 0.6287
Pd 0.6517 0.6517 0.3423
Pd 0.7439 0.7439 0.7144
Pd 0.7517 0.7517 0.4285
Pd 0.8498 0.8498 0.5143
Pd 0.8507 0.8507 0.2255
Pd 0.9480 0.9480 0.6002
Pd 0.9538 0.9538 0.3134